First-principles (GGA-PBE) data for an optimized crystal structure of Ca3Ac4Ni2, as listed in Alexandria via LeMat-Bulk.

```
Ca3Ac4Ni2
1.0
9.692 -2.047 0.000
9.692 2.047 0.000
-4.668 0.000 8.797
Ca Ac Ni
3 4 2
direct
0.000 0.000 0.000
0.360 0.360 0.181
0.640 0.640 0.819
0.073 0.073 0.423
0.298 0.298 0.719
0.702 0.702 0.281
0.927 0.927 0.577
0.316 0.316 0.426
0.684 0.684 0.574
```

Values from the calculation:
**Energy**: -3.83 eV per atom
**Crystal system**: monoclinic
**SG**: C2/m
**Spin magnetization**: 0.0 μB per formula unit

***

First-principles (GGA-PBE) data for an optimized crystal structure of Ca3Ac3Ni4, as listed in Alexandria via LeMat-Bulk.

```
Ca3Ac3Ni4
1.0
4.259 0.000 0.000
0.000 5.524 5.674
0.000 -5.524 5.674
Ca Ac Ni
3 3 4
direct
0.000 0.000 0.000
0.500 0.320 0.841
0.500 0.841 0.320
0.000 0.161 0.504
0.000 0.504 0.161
0.000 0.665 0.665
0.500 0.227 0.227
0.500 0.447 0.447
0.500 0.717 0.941
0.500 0.941 0.717
```

Values from the calculation:
**Energy**: -4.30 eV per atom
**Crystal system**: orthorhombic
**SG**: Amm2
**Spin magnetization**: 0.0 μB per formula unit

***

Q: Which of these has the highest energy?
A: Ca3Ac4Ni2

***

Q: spin magnetization of number 1 (Ca3Ac4Ni2)?
A: 0.0 μB per formula unit

***

Q: Which formula does entry 1 have?
A: Ca3Ac4Ni2

***

Q: Which formula does entry 2 have?
A: Ca3Ac3Ni4